1 | Below is crystalline CaOs2Cl at its relaxed geometry, with properties calculated at the PBE level.

Mass density, g/cm3: 9.59
M_tot, μB/f.u.: 0.00
Space-group type: C2/m (12)

POSCAR file:
```
CaOs2Cl
1.0
6.890 -1.432 0.000
6.890 1.432 0.000
-1.261 0.000 4.001
Ca Os Cl
1 2 1
direct
0.000 0.000 0.000
0.278 0.278 0.777
0.722 0.722 0.223
0.500 0.500 0.500
```

---

2 | Below is crystalline CaOs2Cl at its relaxed geometry, with properties calculated at the PBE level.

Mass density, g/cm3: 8.13
M_tot, μB/f.u.: 0.00
Space-group type: I-42d (122)

POSCAR file:
```
CaOs2Cl
1.0
-2.456 2.456 7.718
2.456 -2.456 7.718
2.456 2.456 -7.718
Ca Os Cl
2 4 2
direct
0.000 0.000 0.000
0.750 0.250 0.500
0.343 0.125 0.718
0.375 0.657 0.782
0.407 0.625 0.282
0.875 0.593 0.218
0.250 0.750 0.500
0.500 0.500 0.000
```

---

3 | Below is crystalline CaOs2Cl at its relaxed geometry, with properties calculated at the PBE level.

Mass density, g/cm3: 10.78
M_tot, μB/f.u.: 0.00
Space-group type: F-43m (216)

POSCAR file:
```
CaOs2Cl
1.0
0.000 3.274 3.274
3.274 0.000 3.274
3.274 3.274 0.000
Ca Os Cl
1 2 1
direct
0.000 0.000 0.000
0.500 0.500 0.500
0.750 0.750 0.750
0.250 0.250 0.250
```

---

Last place for stability: 3

---

1 | Below is crystalline CaOsSCl2 at its relaxed geometry, with properties calculated at the PBE level.

Mass density, g/cm3: 3.85
M_tot, μB/f.u.: 4.58
Space-group type: P4/mmm (123)

POSCAR file:
```
CaOsSCl2
1.0
5.059 0.000 0.000
0.000 5.059 0.000
0.000 0.000 5.614
Ca Os S Cl
1 1 1 2
direct
0.000 0.000 0.000
0.500 0.500 0.500
0.000 0.000 0.500
0.000 0.500 0.000
0.500 0.000 0.000
```

---

2 | Below is crystalline CaOsSCl2 at its relaxed geometry, with properties calculated at the PBE level.

Mass density, g/cm3: 5.02
M_tot, μB/f.u.: 0.00
Space-group type: P4/mmm (123)

POSCAR file:
```
CaOsSCl2
1.0
4.910 0.000 0.000
0.000 4.910 0.000
0.000 0.000 4.575
Ca Os S Cl
1 1 1 2
direct
0.000 0.000 0.000
0.500 0.500 0.500
0.500 0.500 0.000
0.000 0.500 0.500
0.500 0.000 0.500
```

---

Last place for stability: 1

---

1 | Below is crystalline CaPCl3 at its relaxed geometry, with properties calculated at the PBE level.

Mass density, g/cm3: 2.35
M_tot, μB/f.u.: 0.00
Space-group type: Pm-3m (221)

POSCAR file:
```
CaPCl3
1.0
5.008 0.000 0.000
0.000 5.008 0.000
0.000 0.000 5.008
Ca P Cl
1 1 3
direct
0.000 0.000 0.000
0.500 0.500 0.500
0.000 0.500 0.500
0.500 0.000 0.500
0.500 0.500 0.000
```

---

2 | Below is crystalline CaPCl3 at its relaxed geometry, with properties calculated at the PBE level.

Mass density, g/cm3: 1.97
M_tot, μB/f.u.: 2.00
Space-group type: Pm-3m (221)

POSCAR file:
```
CaPCl3
1.0
5.308 0.000 0.000
0.000 5.308 0.000
0.000 0.000 5.308
Ca P Cl
1 1 3
direct
0.000 0.000 0.000
0.500 0.500 0.500
0.000 0.000 0.500
0.000 0.500 0.000
0.500 0.000 0.000
```

---

Last place for stability: 1

---

1 | Below is crystalline CaPPbCl2 at its relaxed geometry, with properties calculated at the PBE level.

Mass density, g/cm3: 2.86
M_tot, μB/f.u.: 0.70
Space-group type: P4/mmm (123)

POSCAR file:
```
CaPPbCl2
1.0
5.657 0.000 0.000
0.000 5.657 0.000
0.000 0.000 6.339
Ca P Pb Cl
1 1 1 2
direct
0.000 0.000 0.000
0.500 0.500 0.000
0.500 0.500 0.500
0.000 0.500 0.500
0.500 0.000 0.500
```

---

2 | Below is crystalline CaPPbCl2 at its relaxed geometry, with properties calculated at the PBE level.

Mass density, g/cm3: 2.58
M_tot, μB/f.u.: 1.00
Space-group type: P4/mmm (123)

POSCAR file:
```
CaPPbCl2
1.0
5.167 0.000 0.000
0.000 5.167 0.000
0.000 0.000 8.411
Ca P Pb Cl
1 1 1 2
direct
0.000 0.000 0.000
0.000 0.000 0.500
0.500 0.500 0.500
0.000 0.500 0.000
0.500 0.000 0.000
```

---

Last place for stability: 1

---

1 | Below is crystalline CaPPdCl2 at its relaxed geometry, with properties calculated at the PBE level.

Mass density, g/cm3: 3.57
M_tot, μB/f.u.: 0.00
Space-group type: P4/mmm (123)

POSCAR file:
```
CaPPdCl2
1.0
4.914 0.000 0.000
0.000 4.914 0.000
0.000 0.000 4.783
Ca P Pd Cl
1 1 1 2
direct
0.000 0.000 0.000
0.500 0.500 0.000
0.500 0.500 0.500
0.000 0.500 0.500
0.500 0.000 0.500
```

---

2 | Below is crystalline CaPPdCl2 at its relaxed geometry, with properties calculated at the PBE level.

Mass density, g/cm3: 2.66
M_tot, μB/f.u.: 2.18
Space-group type: P4/mmm (123)

POSCAR file:
```
CaPPdCl2
1.0
5.114 0.000 0.000
0.000 5.114 0.000
0.000 0.000 5.920
Ca P Pd Cl
1 1 1 2
direct
0.000 0.000 0.000
0.000 0.000 0.500
0.500 0.500 0.500
0.000 0.500 0.000
0.500 0.000 0.000
```

---

Last place for stability: 2

---

1 | Below is crystalline RbCaP2Cl at its relaxed geometry, with properties calculated at the PBE level.

Mass density, g/cm3: 2.23
M_tot, μB/f.u.: 0.86
Space-group type: P4/mmm (123)

POSCAR file:
```
RbCaP2Cl
1.0
5.392 0.000 0.000
0.000 5.392 0.000
0.000 0.000 5.709
Rb Ca P Cl
1 1 2 1
direct
0.000 0.000 0.000
0.500 0.500 0.500
0.000 0.500 0.000
0.500 0.000 0.000
0.000 0.000 0.500
```

---

2 | Below is crystalline RbCaP2Cl at its relaxed geometry, with properties calculated at the PBE level.

Mass density, g/cm3: 2.17
M_tot, μB/f.u.: 2.17
Space-group type: P4/mmm (123)

POSCAR file:
```
RbCaP2Cl
1.0
5.570 0.000 0.000
0.000 5.570 0.000
0.000 0.000 5.511
Rb Ca P Cl
1 1 2 1
direct
0.000 0.000 0.000
0.500 0.500 0.500
0.000 0.500 0.500
0.500 0.000 0.500
0.500 0.500 0.000
```

---

Last place for stability: 1

---

1 | Below is crystalline RbCaPCl2 at its relaxed geometry, with properties calculated at the PBE level.

Mass density, g/cm3: 2.17
M_tot, μB/f.u.: 2.00
Space-group type: P4/mmm (123)

POSCAR file:
```
RbCaPCl2
1.0
5.472 0.000 0.000
0.000 5.472 0.000
0.000 0.000 5.805
Rb Ca P Cl
1 1 1 2
direct
0.000 0.000 0.000
0.500 0.500 0.500
0.500 0.500 0.000
0.000 0.500 0.500
0.500 0.000 0.500
```

---

2 | Below is crystalline RbCaPCl2 at its relaxed geometry, with properties calculated at the PBE level.

Mass density, g/cm3: 2.06
M_tot, μB/f.u.: 1.00
Space-group type: P4/mmm (123)

POSCAR file:
```
RbCaPCl2
1.0
5.703 0.000 0.000
0.000 5.703 0.000
0.000 0.000 5.639
Rb Ca P Cl
1 1 1 2
direct
0.000 0.000 0.000
0.500 0.500 0.500
0.000 0.000 0.500
0.000 0.500 0.000
0.500 0.000 0.000
```

---

Last place for stability: 2

---

1 | Below is crystalline CaReP2Cl at its relaxed geometry, with properties calculated at the PBE level.

Mass density, g/cm3: 4.88
M_tot, μB/f.u.: 0.00
Space-group type: P4/mmm (123)

POSCAR file:
```
CaReP2Cl
1.0
4.584 0.000 0.000
0.000 4.584 0.000
0.000 0.000 5.244
Ca Re P Cl
1 1 2 1
direct
0.000 0.000 0.000
0.500 0.500 0.500
0.000 0.500 0.500
0.500 0.000 0.500
0.500 0.500 0.000
```

---

2 | Below is crystalline CaReP2Cl at its relaxed geometry, with properties calculated at the PBE level.

Mass density, g/cm3: 3.85
M_tot, μB/f.u.: 3.73
Space-group type: P4/mmm (123)

POSCAR file:
```
CaReP2Cl
1.0
5.306 0.000 0.000
0.000 5.306 0.000
0.000 0.000 4.953
Ca Re P Cl
1 1 2 1
direct
0.000 0.000 0.000
0.500 0.500 0.500
0.000 0.500 0.000
0.500 0.000 0.000
0.000 0.000 0.500
```

---

Last place for stability: 2